Computed, not measured: a relaxed structure of Rb2GaSe4 at the GGA-PBE level of DFT.

M_tot = 0.00 μB/f.u.
E_form (uncorrected) = -3.1 eV/f.u.

Lattice parameters (Å, degrees): 9.2648 9.2648 9.2648 146.86 146.86 47.57
Last column: nearest neighbours and their distance in Å.
Positions (direct):
Rb 0.1452 0.1452 0.0000  9 Se 3.60-3.74
Rb 0.8548 0.8548 0.0000  9 Se 3.60-3.74
Ga 0.5000 0.5000 0.0000  6 Se 2.41-2.64
Se 0.0000 0.5000 0.5000  2 Ga 2.64
Se 0.3577 0.3577 0.0000  1 Ga 2.41
Se 0.5000 0.0000 0.5000  2 Ga 2.64
Se 0.6423 0.6423 0.0000  1 Ga 2.41

Computed, not measured: a relaxed structure of YRe2O8 at the GGA-PBE level of DFT.

M_tot = 0.96 μB/f.u.
energy relative to the lowest polymorph listed for this composition = 148 meV/atom
E_form (uncorrected) = -20.8 eV/f.u.

Lattice parameters (Å, degrees): 6.4742 6.4742 5.7745 101.03 101.03 60.30
Last column: nearest neighbours and their distance in Å.
Positions (direct):
Y 0.0000 0.0000 0.0000  6 O 2.27-2.33
Re 0.1905 0.1905 0.6701  4 O 1.73-1.80
Re 0.8095 0.8095 0.3299  4 O 1.73-1.80
O 0.0797 0.6765 0.1898  1 Re 1.80
O 0.1376 0.1376 0.3535  1 Re 1.79
O 0.3235 0.9203 0.8102  1 Re 1.80
O 0.3488 0.3488 0.7559  1 Re 1.73
O 0.6512 0.6512 0.2441  1 Re 1.73
O 0.6765 0.0797 0.1898  1 Re 1.80
O 0.8624 0.8624 0.6465  1 Re 1.79
O 0.9203 0.3235 0.8102  1 Re 1.80

Computed, not measured: a relaxed structure of Tb4TmMg3 at the GGA-PBE level of DFT.

M_tot = 0.00 μB/f.u.
formation energy from the elements = -0.02 eV/atom

Lattice parameters (Å, degrees): 3.7951 5.4457 10.9985 90.00 90.00 90.00
Last column: nearest neighbours and their distance in Å.
Positions (direct):
Tb 0.0000 0.0000 0.0000  8 Mg 3.32-3.33
Tb 0.0000 0.0000 0.5000  4 Tm 3.32, 4 Mg 3.35
Tb 0.0000 0.5000 0.2403  6 Mg 3.25-3.32, 2 Tm 3.43
Tb 0.0000 0.5000 0.7597  6 Mg 3.25-3.32, 2 Tm 3.43
Tm 0.5000 0.5000 0.5000  8 Tb 3.32-3.43
Mg 0.5000 0.0000 0.2493  8 Tb 3.32-3.35
Mg 0.5000 0.0000 0.7507  8 Tb 3.32-3.35
Mg 0.5000 0.5000 0.0000  8 Tb 3.25-3.32

Computed, not measured: a relaxed structure of Zn2CdSb at the GGA-PBE level of DFT.

M_tot = 0.00 μB/f.u.
energy relative to the lowest polymorph listed for this composition = 63 meV/atom
E_form (uncorrected) = 0.6 eV/f.u.

Lattice parameters (Å, degrees): 5.8376 5.8376 5.8376 140.43 137.50 59.47
Last column: nearest neighbours and their distance in Å.
Positions (direct):
Zn 0.0000 0.0000 0.0000  2 Zn 2.84, 4 Sb 2.96, 2 Cd 3.03
Zn 0.7988 0.2988 0.5000  2 Zn 2.84, 4 Cd 2.90, 2 Sb 3.14
Cd 0.2860 0.7860 0.5000  6 Zn 2.90-3.03, 2 Sb 3.13
Sb 0.5585 0.5585 0.0000  6 Zn 2.96-3.14, 2 Cd 3.13

What is the M_tot in the first record? 0.00 μB/f.u.